[1]
DFT (PBE-GGA) results for an optimized crystal structure of SrPuRh2.

Calculated values
DOS at the Fermi energy ... 2.482 states/eV per atom
ρ ... 10.1 Mg/m³
Total DFT energy (no corrections) ... -0.2943 hartree per atom

Unit cell a=3.408 b=3.408 c=7.582 alpha=90.00 beta=90.00 gamma=90.00
Last column: magnetic moment on the atom in μB.
Atoms (fractional coordinates):
Sr  0.500  0.500  0.500  0.00
Rh  0.000  0.000  0.794  -0.26
Rh  0.000  0.000  0.206  -0.26
Pu  0.500  0.500  0.000  4.83


[2]
DFT (PBE-GGA) results for an optimized crystal structure of BaAlAs2N.

Calculated values
DOS at the Fermi energy ... 0.461 states/eV per atom
Raw formation energy ... 0.013 eV per atom
ρ ... 4.8 Mg/m³
Total DFT energy (no corrections) ... -0.1707 hartree per atom

Unit cell a=5.597 b=3.604 c=5.597 alpha=90.00 beta=90.00 gamma=90.00
Atoms (fractional coordinates):
As  0.000  0.000  0.500
As  0.500  0.000  0.000
N  0.000  0.000  0.000
Ba  0.500  0.500  0.500
Al  0.000  0.500  0.000


[3]
DFT (PBE-GGA) results for an optimized crystal structure of YMg3Pd12.

Calculated values
DOS at the Fermi energy ... 1.185 states/eV per atom
ρ ... 9.2 Mg/m³
Total DFT energy (no corrections) ... -0.1895 hartree per atom

Unit cell a=4.032 b=4.032 c=15.910 alpha=90.00 beta=90.00 gamma=90.00
Atoms (fractional coordinates):
Y  0.000  0.000  0.000
Mg  0.000  0.000  0.257
Mg  0.000  0.000  0.500
Mg  0.000  0.000  0.743
Pd  0.500  0.500  0.000
Pd  0.500  0.500  0.256
Pd  0.500  0.500  0.500
Pd  0.500  0.500  0.744
Pd  0.500  0.000  0.134
Pd  0.500  0.000  0.379
Pd  0.500  0.000  0.621
Pd  0.500  0.000  0.866
Pd  0.000  0.500  0.134
Pd  0.000  0.500  0.379
Pd  0.000  0.500  0.621
Pd  0.000  0.500  0.866